No. 1
Material: Y8Ho3Er4
Method: DFT, PBE-GGA
State: optimized geometry

## Properties
The volume is 32.40 Å³ per atom. Its energy above the most stable polymorph in this dataset is 0 meV per atom. As for the total energy: -5.418 eV/atom. As for the density of states at the Fermi level: 24.26 states/eV/cell. The crystal system is trigonal.

Lattice parameters (Å, degrees): 12.3678 12.3678 12.3678 32.51 32.51 32.51
Fractional positions:
Y 0.2451 0.2451 0.2451
Y 0.2494 0.2494 0.7511
Y 0.2494 0.7511 0.2494
Y 0.2489 0.7506 0.7506
Y 0.7511 0.2494 0.2494
Y 0.7506 0.2489 0.7506
Y 0.7506 0.7506 0.2489
Y 0.7549 0.7549 0.7549
Ho 0.0000 0.0000 0.5000
Ho 0.0000 0.5000 0.0000
Ho 0.5000 0.0000 0.0000
Er 0.0000 0.0000 0.0000
Er 0.3359 0.3359 0.3359
Er 0.5000 0.5000 0.5000
Er 0.6641 0.6641 0.6641

No. 2
Material: Y4Ho15Er
Method: DFT, PBE-GGA
State: optimized geometry

## Properties
The volume is 31.18 Å³ per atom. As for the total energy: -4.932 eV/atom. As for the density of states at the Fermi level: 26.45 states/eV/cell. The crystal system is tetragonal.

Lattice parameters (Å, degrees): 4.9964 4.9964 24.9833 90.00 90.00 90.00
Fractional positions:
Y 0.0000 0.0000 0.1002
Y 0.0000 0.0000 0.3006
Y 0.0000 0.0000 0.6994
Y 0.0000 0.0000 0.8998
Ho 0.0000 0.5000 0.0000
Ho 0.0000 0.5000 0.2004
Ho 0.0000 0.5000 0.4009
Ho 0.0000 0.5000 0.5991
Ho 0.0000 0.5000 0.7996
Ho 0.5000 0.0000 0.0000
Ho 0.5000 0.0000 0.2004
Ho 0.5000 0.0000 0.4009
Ho 0.5000 0.0000 0.5991
Ho 0.5000 0.0000 0.7996
Ho 0.5000 0.5000 0.1002
Ho 0.5000 0.5000 0.3007
Ho 0.5000 0.5000 0.5000
Ho 0.5000 0.5000 0.6993
Ho 0.5000 0.5000 0.8998
Er 0.0000 0.0000 0.5000

No. 3
Material: Y4Ho3Er5
Method: DFT, PBE-GGA
State: optimized geometry

## Properties
The volume is 32.06 Å³ per atom. Its energy above the most stable polymorph in this dataset is 219 meV per atom. As for the total energy: -4.957 eV/atom. As for the density of states at the Fermi level: 20.09 states/eV/cell. The crystal system is monoclinic.

Lattice parameters (Å, degrees): 8.4861 8.4861 9.2485 114.99 114.99 40.30
Fractional positions:
Y 0.0804 0.0804 0.4386
Y 0.2130 0.2130 0.8784
Y 0.7870 0.7870 0.1216
Y 0.9196 0.9196 0.5614
Ho 0.2101 0.2101 0.2341
Ho 0.5000 0.5000 0.0000
Ho 0.7899 0.7899 0.7659
Er 0.0000 0.0000 0.0000
Er 0.3276 0.3276 0.6150
Er 0.4270 0.4270 0.3000
Er 0.5730 0.5730 0.7000
Er 0.6724 0.6724 0.3850

No. 4
Material: Y4Ho5Er4
Method: DFT, PBE-GGA
State: optimized geometry

## Properties
The volume is 31.16 Å³ per atom. As for the total energy: -5.130 eV/atom. As for the density of states at the Fermi level: 18.11 states/eV/cell. The crystal system is tetragonal.

Lattice parameters (Å, degrees): 9.3492 9.3492 9.3492 94.08 94.08 149.04
Fractional positions:
Y 0.1533 0.2307 0.3839
Y 0.2307 0.8467 0.0774
Y 0.7693 0.1533 0.9226
Y 0.8467 0.7693 0.6161
Ho 0.0000 0.0000 0.0000
Ho 0.3074 0.4620 0.7694
Ho 0.4620 0.6926 0.1546
Ho 0.5380 0.3074 0.8454
Ho 0.6926 0.5380 0.2306
Er 0.0765 0.6142 0.6907
Er 0.3858 0.0765 0.4623
Er 0.6142 0.9235 0.5377
Er 0.9235 0.3858 0.3093

No. 5
Material: Y2Ho7Er4
Method: DFT, PBE-GGA
State: optimized geometry

## Properties
The volume is 30.96 Å³ per atom. As for the total energy: -4.844 eV/atom. As for the density of states at the Fermi level: 16.31 states/eV/cell. The crystal system is triclinic.

Lattice parameters (Å, degrees): 6.1058 7.8566 9.3410 65.13 89.73 82.51
Fractional positions:
Y 0.1553 0.0771 0.1156
Y 0.8447 0.9229 0.8844
Ho 0.0000 0.0000 0.5000
Ho 0.0764 0.5387 0.8065
Ho 0.2309 0.6147 0.4232
Ho 0.3847 0.6905 0.0389
Ho 0.6153 0.3095 0.9611
Ho 0.7691 0.3853 0.5768
Ho 0.9236 0.4613 0.1935
Er 0.3076 0.1546 0.7294
Er 0.4633 0.2304 0.3470
Er 0.5367 0.7696 0.6530
Er 0.6924 0.8454 0.2706

No. 6
Material: YHo6Er8
Method: DFT, PBE-GGA
State: optimized geometry

## Properties
The volume is 31.52 Å³ per atom. Its energy above the most stable polymorph in this dataset is 0 meV per atom. As for the total energy: -4.562 eV/atom. As for the density of states at the Fermi level: 22.97 states/eV/cell. The crystal system is trigonal.

Lattice parameters (Å, degrees): 8.5499 8.5499 8.5499 63.16 63.16 63.16
Fractional positions:
Y 0.0000 0.0000 0.0000
Ho 0.1120 0.5401 0.2243
Ho 0.2243 0.1120 0.5401
Ho 0.4599 0.7757 0.8880
Ho 0.5401 0.2243 0.1120
Ho 0.7757 0.8880 0.4599
Ho 0.8880 0.4599 0.7757
Er 0.1095 0.7214 0.7420
Er 0.2580 0.8905 0.2786
Er 0.2786 0.2580 0.8905
Er 0.4236 0.4236 0.4236
Er 0.5764 0.5764 0.5764
Er 0.7214 0.7420 0.1095
Er 0.7420 0.1095 0.7214
Er 0.8905 0.2786 0.2580

No. 7
Material: YHo2Er2
Method: DFT, PBE-GGA
State: optimized geometry

## Properties
The volume is 32.61 Å³ per atom. Its energy above the most stable polymorph in this dataset is 462 meV per atom. As for the total energy: -4.411 eV/atom. As for the density of states at the Fermi level: 14.39 states/eV/cell. The crystal system is tetragonal.

Lattice parameters (Å, degrees): 5.8573 5.8573 9.5041 90.00 90.00 90.00
Fractional positions:
Y 0.0000 0.0000 0.0000
Y 0.5000 0.5000 0.5000
Ho 0.0000 0.0000 0.3536
Ho 0.0000 0.0000 0.6464
Ho 0.5000 0.5000 0.1464
Ho 0.5000 0.5000 0.8536
Er 0.0000 0.5000 0.2500
Er 0.0000 0.5000 0.7500
Er 0.5000 0.0000 0.2500
Er 0.5000 0.0000 0.7500

No. 8
Material: Y2Ho5Er2
Method: DFT, PBE-GGA
State: optimized geometry

## Properties
The volume is 31.54 Å³ per atom. Its energy above the most stable polymorph in this dataset is 0 meV per atom. As for the total energy: -4.874 eV/atom. As for the density of states at the Fermi level: 19.69 states/eV/cell. The crystal system is monoclinic.

Lattice parameters (Å, degrees): 8.6382 8.6382 6.3084 104.69 104.69 38.76
Fractional positions:
Y 0.0624 0.0624 0.2866
Y 0.9376 0.9376 0.7134
Ho 0.1798 0.1798 0.8589
Ho 0.2914 0.2914 0.4316
Ho 0.5000 0.5000 0.5000
Ho 0.7086 0.7086 0.5684
Ho 0.8202 0.8202 0.1411
Er 0.3986 0.3986 0.9838
Er 0.6014 0.6014 0.0162

No. 9
Material: Y7Ho3Er
Method: DFT, PBE-GGA
State: optimized geometry

## Properties
The volume is 32.59 Å³ per atom. Its energy above the most stable polymorph in this dataset is 0 meV per atom. As for the total energy: -5.629 eV/atom. As for the density of states at the Fermi level: 19.86 states/eV/cell. The crystal system is monoclinic.

Lattice parameters (Å, degrees): 6.9250 5.5266 9.9713 90.00 110.04 90.00
Fractional positions:
Y 0.0000 0.0000 0.0000
Y 0.1464 0.5000 0.2895
Y 0.3185 0.5000 0.6378
Y 0.4176 0.0000 0.8301
Y 0.5824 0.0000 0.1699
Y 0.6815 0.5000 0.3622
Y 0.8536 0.5000 0.7105
Ho 0.0000 0.0000 0.5000
Ho 0.2787 0.5000 0.9986
Ho 0.7213 0.5000 0.0014
Er 0.5000 0.0000 0.5000

No. 10
Material: Y14HoEr
Method: DFT, PBE-GGA
State: optimized geometry

## Properties
The volume is 31.97 Å³ per atom. As for the total energy: -6.205 eV/atom. As for the density of states at the Fermi level: 21.45 states/eV/cell. The crystal system is tetragonal.

Lattice parameters (Å, degrees): 7.1302 7.1302 10.0617 90.00 90.00 90.00
Fractional positions:
Y 0.0000 0.0000 0.0000
Y 0.0000 0.5000 0.0000
Y 0.0000 0.5000 0.5000
Y 0.2502 0.2502 0.2512
Y 0.2502 0.2502 0.7488
Y 0.2502 0.7498 0.2512
Y 0.2502 0.7498 0.7488
Y 0.5000 0.0000 0.0000
Y 0.5000 0.0000 0.5000
Y 0.5000 0.5000 0.0000
Y 0.7498 0.2502 0.2512
Y 0.7498 0.2502 0.7488
Y 0.7498 0.7498 0.2512
Y 0.7498 0.7498 0.7488
Ho 0.0000 0.0000 0.5000
Er 0.5000 0.5000 0.5000

No. 11
Material: Y4Ho4Er
Method: DFT, PBE-GGA
State: optimized geometry

## Properties
The volume is 31.46 Å³ per atom. As for the total energy: -5.389 eV/atom. As for the density of states at the Fermi level: 13.70 states/eV/cell. The crystal system is triclinic.

Lattice parameters (Å, degrees): 5.0102 6.1359 10.6268 95.57 103.58 114.03
Fractional positions:
Y 0.1676 0.1682 0.1669
Y 0.2776 0.9443 0.6110
Y 0.7224 0.0557 0.3890
Y 0.8324 0.8318 0.8331
Ho 0.0558 0.3886 0.7229
Ho 0.3880 0.7212 0.0549
Ho 0.6120 0.2788 0.9451
Ho 0.9442 0.6114 0.2771
Er 0.5000 0.5000 0.5000

No. 12
Material: Y2Ho8Er
Method: DFT, PBE-GGA
State: optimized geometry

## Properties
The volume is 31.95 Å³ per atom. Its energy above the most stable polymorph in this dataset is 0 meV per atom. As for the total energy: -4.760 eV/atom. As for the density of states at the Fermi level: 14.48 states/eV/cell. The crystal system is monoclinic.

Lattice parameters (Å, degrees): 9.3980 9.3980 5.8770 106.67 106.67 122.49
Fractional positions:
Y 0.1901 0.8099 0.0000
Y 0.8099 0.1901 0.0000
Ho 0.0538 0.0538 0.2869
Ho 0.1566 0.4022 0.8022
Ho 0.2972 0.7028 0.5000
Ho 0.4022 0.1566 0.8022
Ho 0.5978 0.8434 0.1978
Ho 0.7028 0.2972 0.5000
Ho 0.8434 0.5978 0.1978
Ho 0.9462 0.9462 0.7131
Er 0.5000 0.5000 0.5000